Entry 1:
DFT (PBE) results for a relaxed CaSnHg3 crystal.

## Properties
The value obtained for the energy is -1.00 eV/atom. The density of states at the Fermi level is 1.36 states/eV/atom. The calculation puts the volume at 187.33 Å³/f.u. As for the formation energy: 0.379 eV/atom. The energy above the lowest structure with this stoichiometry is 3.42 eV/f.u.

a b c (Å): 5.722 5.722 5.722
angles (deg): 90.00 90.00 90.00
Space group Pm-3m (No. 221)
Inequivalent atoms, fractional coordinates:
Ca (0.000, 0.000, 0.000) [1 per cell]
Sn (0.500, 0.500, 0.500) [1 per cell]
Hg (0.000, 0.000, 0.500) [3 per cell]

Entry 2:
DFT (PBE) results for a relaxed Mg2NiAg crystal.

## Properties
The value obtained for the energy is -2.99 eV/atom. The density of states at the Fermi level is 0.62 states/eV/atom. The calculation puts the volume at 67.46 Å³/f.u. As for the formation energy: -0.039 eV/atom.

a b c (Å): 2.9792 2.9792 26.3279
angles (deg): 90.00 90.00 120.00
Space group R-3m (No. 166, hexagonal axes)
Inequivalent atoms, fractional coordinates:
Mg (0.0000, 0.0000, 0.2422) [6 per cell]
Ni (0.0000, 0.0000, 0.5000) [3 per cell]
Ag (0.0000, 0.0000, 0.0000) [3 per cell]

Entry 3:
DFT (PBE) results for a relaxed NiSn2Pd9 crystal.

## Properties
The value obtained for the energy is -5.34 eV/atom. The density of states at the Fermi level is 1.36 states/eV/atom. The calculation puts the volume at 190.33 Å³/f.u. As for the formation energy: -0.301 eV/atom.

a b c (Å): 4.014 4.014 11.810
angles (deg): 90.00 90.00 90.00
Space group P4/mmm (No. 123)
Inequivalent atoms, fractional coordinates:
Ni (0.000, 0.000, 0.000) [1 per cell]
Sn (0.000, 0.000, 0.326) [2 per cell]
Pd (0.000, 0.500, 0.157) [4 per cell]
Pd (0.000, 0.500, 0.500) [2 per cell]
Pd (0.500, 0.500, 0.000) [1 per cell]
Pd (0.500, 0.500, 0.329) [2 per cell]

Entry 4:
DFT (PBE) results for a relaxed Ce8Ir3Pb2 crystal.

## Properties
The value obtained for the energy is -6.61 eV/atom. The density of states at the Fermi level is 3.14 states/eV/atom. The calculation puts the volume at 396.50 Å³/f.u. As for the formation energy: -0.345 eV/atom.

a b c (Å): 17.098 7.129 6.898
angles (deg): 90.00 109.41 90.00
Space group C2/m (No. 12)
Inequivalent atoms, fractional coordinates:
Ce (0.088, 0.000, 0.410) [4 per cell]
Ce (0.094, 0.281, 0.902) [8 per cell]
Ce (0.170, 0.500, 0.546) [4 per cell]
Ir (0.000, 0.000, 0.000) [2 per cell]
Ir (0.000, 0.307, 0.500) [4 per cell]
Pb (0.239, 0.000, 0.829) [4 per cell]

Entry 5:
DFT (PBE) results for a relaxed ZrNb2Re crystal.

## Properties
The value obtained for the energy is -10.38 eV/atom. The density of states at the Fermi level is 1.12 states/eV/atom. The calculation puts the volume at 71.50 Å³/f.u. As for the formation energy: -0.100 eV/atom. The energy above the lowest structure with this stoichiometry is 0.28 eV/f.u.

a b c (Å): 6.589 6.589 6.589
angles (deg): 90.00 90.00 90.00
Space group Fm-3m (No. 225)
Inequivalent atoms, fractional coordinates:
Zr (0.000, 0.000, 0.000) [4 per cell]
Nb (0.250, 0.250, 0.250) [8 per cell]
Re (0.000, 0.000, 0.500) [4 per cell]

Entry 6:
DFT (PBE) results for a relaxed Cu2Te crystal.

## Properties
The value obtained for the energy is -3.60 eV/atom. The density of states at the Fermi level is 0.24 states/eV/atom. The calculation puts the volume at 53.14 Å³/f.u. The calculation puts the energy relative to the elements, uncorrected at 0.1801 eV/atom.

a b c (Å): 3.749 3.749 7.562
angles (deg): 90.00 90.00 90.00
Space group I4/mmm (No. 139)
Inequivalent atoms, fractional coordinates:
Cu (0.000, 0.000, 0.160) [4 per cell]
Te (0.000, 0.000, 0.500) [2 per cell]

Entry 7:
DFT (PBE) results for a relaxed CaDySc2 crystal.

## Properties
The value obtained for the energy is -4.60 eV/atom. The density of states at the Fermi level is 2.22 states/eV/atom. The calculation puts the volume at 117.36 Å³/f.u. As for the formation energy: 0.213 eV/atom. The energy above the lowest structure with this stoichiometry is 0.29 eV/f.u.

a b c (Å): 4.925 4.925 4.838
angles (deg): 90.00 90.00 90.00
Space group P4/mmm (No. 123)
Inequivalent atoms, fractional coordinates:
Ca (0.000, 0.000, 0.000) [1 per cell]
Dy (0.500, 0.500, 0.000) [1 per cell]
Sc (0.000, 0.500, 0.500) [2 per cell]

Entry 8:
DFT (PBE) results for a relaxed La12Sm5Y crystal.

## Properties
The value obtained for the energy is -4.94 eV/atom. The density of states at the Fermi level is 1.77 states/eV/atom. The calculation puts the volume at 641.83 Å³/f.u. As for the formation energy: 0.018 eV/atom.

a b c (Å): 19.201 11.030 6.416
angles (deg): 90.00 109.14 90.00
Space group C2/m (No. 12)
Inequivalent atoms, fractional coordinates:
La (0.000, 0.169, 0.000) [4 per cell]
La (0.000, 0.330, 0.500) [4 per cell]
La (0.167, 0.170, 0.833) [8 per cell]
La (0.167, 0.330, 0.333) [8 per cell]
Sm (0.000, 0.500, 0.000) [2 per cell]
Sm (0.167, 0.000, 0.333) [4 per cell]
Sm (0.167, 0.500, 0.833) [4 per cell]
Y (0.000, 0.000, 0.500) [2 per cell]